Entry 1:
Density functional theory data (GGA-PBE) for a geometry-optimized La7PrDy3 structure.

Cell: 7.3330 7.3330 8.6619 Å, 90.00 90.00 120.00°
With the nearest neighbours (Å) after each atom.
Space group P3m1 (No. 156)
Asymmetric unit:
La 0.0000 0.0000 0.0000 [1 per cell]  9 La 3.60-3.68, 3 Dy 3.68
La 0.0050 0.5025 0.9690 [3 per cell]  2 Dy 3.48, 8 La 3.61-3.79, 1 Pr 3.62
La 0.1690 0.3379 0.3338 [3 per cell]  2 Dy 3.48, 7 La 3.60-3.79, 2 Pr 3.67
Pr 0.6667 0.3333 0.3057 [1 per cell]  9 La 3.62-3.67, 3 Dy 3.67
Dy 0.3334 0.1667 0.6518 [3 per cell]  5 La 3.48-3.68, 4 Dy 3.67, 1 Pr 3.67

Calculated values
V: 403.4 Å³/cell
total moment: 0.00 Bohr magnetons per cell
ΔE_f: 0.173 eV per atom



Entry 2:
Density functional theory data (GGA-PBE) for a geometry-optimized CaCdPd6 structure.

Cell: 5.1959 5.1959 5.1959 Å, 90.00 90.00 90.00°
With the nearest neighbours (Å) after each atom.
Space group Pm-3 (No. 200)
Asymmetric unit:
Ca 0.0000 0.0000 0.0000 [1 per cell]  12 Pd 2.91
Cd 0.5000 0.5000 0.5000 [1 per cell]  12 Pd 2.90
Pd 0.0000 0.2526 0.5000 [6 per cell]  2 Pd 2.57-2.62

Calculated values
V: 140.3 Å³/cell
total moment: 0.00 Bohr magnetons per cell
ΔE_f: -0.210 eV per atom



Entry 3:
Density functional theory data (GGA-PBE) for a geometry-optimized Mg3Tl2 structure.

Cell: 8.3045 8.3045 13.0366 Å, 90.00 90.00 120.00°
With the nearest neighbours (Å) after each atom.
Space group R-3c (No. 167, hexagonal axes)
Asymmetric unit:
Mg 0.0000 0.3035 0.2500 [18 per cell]  4 Tl 2.94-3.04
Tl 0.0000 0.0000 0.1200 [12 per cell]  6 Mg 2.94-3.04, 1 Tl 3.13

Calculated values
V: 778.6 Å³/cell
total moment: 0.00 Bohr magnetons per cell
ΔE_f: 0.057 eV per atom



Entry 4:
Density functional theory data (GGA-PBE) for a geometry-optimized Na3SiAg structure.

Cell: 5.4197 5.4197 5.4197 Å, 90.00 90.00 90.00°
With the nearest neighbours (Å) after each atom.
Space group Pm-3m (No. 221)
Asymmetric unit:
Na 0.0000 0.0000 0.5000 [3 per cell]  2 Ag 2.71
Si 0.5000 0.5000 0.5000 [1 per cell]  12 Na 3.83
Ag 0.0000 0.0000 0.0000 [1 per cell]  6 Na 2.71

Calculated values
V: 159.2 Å³/cell
total moment: 0.00 Bohr magnetons per cell
calculated total energy: -9.4 eV per cell



Entry 5:
Density functional theory data (GGA-PBE) for a geometry-optimized Dy3Lu structure.

Cell: 4.9684 4.9684 4.9684 Å, 90.00 90.00 90.00°
With the nearest neighbours (Å) after each atom.
Space group Pm-3m (No. 221)
Asymmetric unit:
Dy 0.0000 0.0000 0.5000 [3 per cell]  8 Dy 3.51, 4 Lu 3.51
Lu 0.5000 0.5000 0.5000 [1 per cell]  12 Dy 3.51

Calculated values
V: 122.6 Å³/cell
total moment: 0.00 Bohr magnetons per cell
ΔE_f: 0.024 eV per atom



Entry 6:
Density functional theory data (GGA-PBE) for a geometry-optimized ZrTlCl structure.

Cell: 4.7124 4.7124 3.5467 Å, 90.00 90.00 120.00°
With the nearest neighbours (Å) after each atom.
Space group P-6m2 (No. 187)
Asymmetric unit:
Zr 0.0000 0.0000 0.0000 [1 per cell]  3 Cl 2.72
Tl 0.6667 0.3333 0.5000 [1 per cell]  6 Zr 3.25, 6 Cl 3.25, 2 Tl 3.55
Cl 0.3333 0.6667 0.0000 [1 per cell]  3 Zr 2.72

Calculated values
V: 68.2 Å³/cell
total moment: 0.01 Bohr magnetons per cell
calculated total energy: -13.6 eV per cell



Entry 7:
Density functional theory data (GGA-PBE) for a geometry-optimized Ac2Pm4Pr2Nd structure.

Cell: 19.5446 3.7892 10.0628 Å, 90.00 115.77 90.00°
With the nearest neighbours (Å) after each atom.
Space group C2/m (No. 12)
Asymmetric unit:
Ac 0.1462 0.0000 0.1640 [4 per cell]  7 Pm 3.72-3.81, 3 Pr 3.74-3.79, 2 Ac 3.79
Pm 0.0184 0.5000 0.8227 [4 per cell]  2 Nd 3.64, 1 Pr 3.67, 5 Pm 3.71-3.94, 4 Ac 3.76-3.79
Pm 0.1836 0.0000 0.8321 [4 per cell]  2 Pr 3.68, 1 Nd 3.69, 6 Pm 3.71-3.79, 3 Ac 3.72-3.81
Pr 0.1654 0.5000 0.5047 [4 per cell]  3 Pm 3.67-3.68, 2 Nd 3.73, 3 Ac 3.74-3.79, 4 Pr 3.79-3.85
Nd 0.0000 0.0000 0.5000 [2 per cell]  6 Pm 3.64-3.69, 4 Pr 3.73, 2 Nd 3.79

Calculated values
V: 671.1 Å³/cell
total moment: 0.00 Bohr magnetons per cell
ΔE_f: 0.026 eV per atom



Entry 8:
Density functional theory data (GGA-PBE) for a geometry-optimized Hf2CuReAu structure.

Cell: 4.7456 4.7456 4.4760 Å, 90.00 90.00 90.00°
With the nearest neighbours (Å) after each atom.
Space group P4/mmm (No. 123)
Asymmetric unit:
Hf 0.0000 0.5000 0.0000 [2 per cell]  2 Cu 2.37
Cu 0.0000 0.0000 0.0000 [1 per cell]  2 Au 2.24, 4 Hf 2.37
Re 0.5000 0.5000 0.5000 [1 per cell]  8 Hf 3.26, 4 Au 3.36
Au 0.0000 0.0000 0.5000 [1 per cell]  2 Cu 2.24

Calculated values
V: 100.8 Å³/cell
total moment: 0.00 Bohr magnetons per cell
ΔE_f: 0.944 eV per atom